Entry 1:
TeRhSe2: relaxed, PBE-GGA.

D(E_F) (states/eV/atom): 0.60
Uncorrected formation energy (meV per atom): 41.3

a b c (Å): 5.573 5.573 5.389
angles (deg): 90.00 90.00 90.00
Space group I4/mmm (No. 139)
Asymmetric unit:
Te 0.000 0.000 0.000 [2 per cell]
Rh 0.000 0.000 0.500 [2 per cell]
Se 0.000 0.500 0.000 [4 per cell]



Entry 2:
NaPmAlHg: relaxed, PBE-GGA.

D(E_F) (states/eV/atom): 0.61
Uncorrected energy (eV per atom): -2.731

a b c (Å): 7.365 7.365 7.365
angles (deg): 90.00 90.00 90.00
Space group F-43m (No. 216)
Asymmetric unit:
Na 0.000 0.000 0.000 [4 per cell]
Pm 0.000 0.000 0.500 [4 per cell]
Al 0.250 0.250 0.250 [4 per cell]
Hg 0.250 0.250 0.750 [4 per cell]



Entry 3:
TiSn3Ge: relaxed, PBE-GGA.

D(E_F) (states/eV/atom): 2.33
Uncorrected energy (eV per atom): -4.010

a b c (Å): 5.247 5.247 5.247
angles (deg): 90.00 90.00 90.00
Space group Pm-3m (No. 221)
Asymmetric unit:
Ti 0.000 0.000 0.000 [1 per cell]
Sn 0.000 0.500 0.500 [3 per cell]
Ge 0.500 0.500 0.500 [1 per cell]